! P2PdSO PBE relaxed; values from VASP
! Calculated volume in Å³/atom: 14.57
! ρ in g/cm³: 4.9
! Electronic total energy in eV per cell: -22.1
! Symmetry: P4/mmm
! Formation energy (no corrections) in eV/atom: 0.59
&SYSTEM
  ibrav = 0, nat = 5, ntyp = 4
/
ATOMIC_SPECIES
P 30.97 P.upf
Pd 106.42 Pd.upf
S 32.06 S.upf
O 16.00 O.upf
ATOMIC_POSITIONS angstrom
P 0.000 2.021 0.000
P 2.021 0.000 0.000
Pd 0.000 0.000 2.228
S 2.021 2.021 2.228
O 2.021 2.021 0.000
CELL_PARAMETERS angstrom
4.043 0.000 0.000
0.000 4.043 0.000
0.000 0.000 4.457